The following is a GGA-PBE calculation of crystalline Tc2NiCl at its relaxed geometry, from Alexandria.

## Properties
As for the calculated total energy: -6.5310 eV/atom. The calculation puts the formation energy (no corrections) at 2.24 eV/f.u.

POSCAR file:
```
Tc2NiCl
1.0
9.021 0.000 0.000
0.000 2.828 0.000
-0.074 0.000 4.449
Tc Ni Cl
4 2 2
Direct
0.000 0.000 0.000
0.218 0.500 0.761
0.500 0.500 0.000
0.718 0.000 0.761
0.448 0.000 0.524
0.948 0.500 0.524
0.225 0.000 0.318
0.725 0.500 0.318
```